# 1
DFT (PBE) results for a relaxed structure of PdAuN2F.

Properties
* energy relative to the elements, uncorrected: 1.25 eV per atom

abc: 4.0206 4.0206 4.1815
angles: 90.00 90.00 90.00
Positions (direct):
1 N 0.0000 0.5000 0.0000
2 N 0.5000 0.0000 0.0000
3 Au 0.5000 0.5000 0.5000
4 Pd 0.0000 0.0000 0.0000
5 F 0.0000 0.0000 0.5000


# 2
DFT (PBE) results for a relaxed structure of PdAuNF2.

Properties
* energy relative to the elements, uncorrected: 0.21 eV per atom

abc: 4.4174 4.4174 3.7098
angles: 90.00 90.00 90.00
Positions (direct):
1 N 0.0000 0.0000 0.5000
2 Au 0.5000 0.5000 0.5000
3 Pd 0.0000 0.0000 0.0000
4 F 0.0000 0.5000 0.0000
5 F 0.5000 0.0000 0.0000


# 3
DFT (PBE) results for a relaxed structure of PdAuN2F.

Properties
* energy relative to the elements, uncorrected: 1.53 eV per atom

abc: 3.9380 3.9380 5.1300
angles: 90.00 90.00 90.00
Positions (direct):
1 N 0.0000 0.5000 0.0000
2 N 0.5000 0.0000 0.0000
3 Au 0.0000 0.0000 0.0000
4 Pd 0.5000 0.5000 0.5000
5 F 0.0000 0.0000 0.5000